(1)
Computed, not measured: an optimized crystal structure of Ir2Br at the GGA-PBE level of DFT.

a = 11.527 Å, b = 2.814 Å, c = 10.320 Å
α = 90.00°, β = 106.85°, γ = 90.00°
Space group C2/m (No. 12)
Asymmetric unit:
Ir (0.035, 0.000, 0.133)
Ir (0.157, 0.500, 0.000)
Br (0.093, 0.500, 0.358)

Energy above the most stable polymorph in this dataset: 211 meV/atom

=====

(2)
Computed, not measured: an optimized crystal structure of Sc2MnSe at the GGA-PBE level of DFT.

a = 3.4839 Å, b = 3.4839 Å, c = 25.0084 Å
α = 90.00°, β = 90.00°, γ = 120.00°
Space group R3m (No. 160, hexagonal axes)
Asymmetric unit:
Sc (0.0000, 0.0000, 0.0000)
Sc (0.0000, 0.0000, 0.2240)
Mn (0.0000, 0.0000, 0.7532)
Se (0.0000, 0.0000, 0.4872)

=====

(3)
Computed, not measured: an optimized crystal structure of Li2CuGeS4 at the GGA-PBE level of DFT.

a = 7.915 Å, b = 10.226 Å, c = 5.591 Å
α = 90.00°, β = 134.94°, γ = 90.00°
Space group C2 (No. 5)
Asymmetric unit:
Li (0.000, 0.000, 0.000)
Li (0.000, 0.250, 0.500)
Cu (0.000, 0.499, 0.000)
Ge (0.000, 0.750, 0.500)
S (0.222, 0.624, 0.480)
S (0.243, 0.876, 0.965)

=====

| no. | formation energy from raw total energies (eV per atom) | magnetic moment (μB/cell) | E_tot (eV/atom) |
| --- | --- | --- | --- |
| 1 | 0.567 | 0.000 | -5.898 |
| 2 | -0.263 | 10.734 | -6.592 |
| 3 | -0.673 | 1.680 | -4.305 |